(1)
! Pr2SnGe PBE-GGA optimized geometry; values from VASP
! * formation energy from the elements: -624 meV per atom
! * D(E_F): 10.85 states/eV/cell
&SYSTEM
  ibrav = 0, nat = 12, ntyp = 3
/
ATOMIC_SPECIES
Pr 140.91 Pr.upf
Sn 118.71 Sn.upf
Ge 72.64 Ge.upf
ATOMIC_POSITIONS crystal
Pr 0.0000 0.0000 0.2412
Pr 0.0000 0.0000 0.7588
Pr 0.3333 0.6667 0.4254
Pr 0.3333 0.6667 0.9079
Pr 0.6667 0.3333 0.0921
Pr 0.6667 0.3333 0.5746
Sn 0.0000 0.0000 0.0000
Sn 0.3333 0.6667 0.6667
Sn 0.6667 0.3333 0.3333
Ge 0.0000 0.0000 0.5000
Ge 0.3333 0.6667 0.1667
Ge 0.6667 0.3333 0.8333
CELL_PARAMETERS angstrom
4.3570 0.0000 0.0000
-2.1785 3.7733 0.0000
0.0000 0.0000 22.7412


(2)
! TlAs2O6 PBE-GGA optimized geometry; values from VASP
! * E_form (uncorrected): -1.072 eV per atom
! * D(E_F): 2.01 states/eV/cell
&SYSTEM
  ibrav = 0, nat = 9, ntyp = 3
/
ATOMIC_SPECIES
Tl 204.38 Tl.upf
As 74.92 As.upf
O 16.00 O.upf
ATOMIC_POSITIONS crystal
Tl 0.0000 0.0000 0.0000
As 0.3333 0.6667 0.5000
As 0.6667 0.3333 0.5000
O 0.0000 0.3821 0.6949
O 0.0000 0.6179 0.3051
O 0.3821 0.0000 0.6949
O 0.3821 0.3821 0.3051
O 0.6179 0.0000 0.3051
O 0.6179 0.6179 0.6949
CELL_PARAMETERS angstrom
4.9871 0.0000 0.0000
-2.4936 4.3190 0.0000
0.0000 0.0000 5.3783


(3)
! CaTeAuI2 PBE-GGA optimized geometry; values from VASP
! * energy above the most stable polymorph in this dataset: 0.338 eV/atom
! * E_form (uncorrected): -0.035 eV per atom
! * D(E_F): 5.09 states/eV/cell
&SYSTEM
  ibrav = 0, nat = 5, ntyp = 4
/
ATOMIC_SPECIES
Ca 40.08 Ca.upf
Te 127.60 Te.upf
Au 196.97 Au.upf
I 126.90 I.upf
ATOMIC_POSITIONS crystal
Ca 0.0000 0.0000 0.0000
Te 0.0000 0.0000 0.5000
Au 0.5000 0.5000 0.5000
I 0.0000 0.5000 0.0000
I 0.5000 0.0000 0.0000
CELL_PARAMETERS angstrom
5.9405 0.0000 0.0000
0.0000 5.9405 0.0000
0.0000 0.0000 6.2447


(4)
! NaCuPO4 PBE-GGA optimized geometry; values from VASP
! * energy above the most stable polymorph in this dataset: 0.011 eV/atom
! * E_form (uncorrected): -1.746 eV per atom
! * D(E_F): 0.90 states/eV/cell
&SYSTEM
  ibrav = 0, nat = 28, ntyp = 4
/
ATOMIC_SPECIES
Na 22.99 Na.upf
Cu 63.55 Cu.upf
P 30.97 P.upf
O 16.00 O.upf
ATOMIC_POSITIONS crystal
Na 0.1472 0.1440 0.1924
Na 0.1472 0.3560 0.6924
Na 0.8528 0.6440 0.3076
Na 0.8528 0.8560 0.8076
Cu 0.0000 0.0000 0.5000
Cu 0.0000 0.5000 0.0000
Cu 0.5000 0.0000 0.0000
Cu 0.5000 0.5000 0.5000
P 0.3550 0.6750 0.8060
P 0.3550 0.8250 0.3060
P 0.6450 0.1750 0.6940
P 0.6450 0.3250 0.1940
O 0.0849 0.6268 0.8317
O 0.0849 0.8732 0.3317
O 0.2933 0.6030 0.6138
O 0.2933 0.8970 0.1138
O 0.3291 0.1346 0.5277
O 0.3291 0.3654 0.0277
O 0.3487 0.6512 0.2864
O 0.3487 0.8488 0.7864
O 0.6513 0.1512 0.2136
O 0.6513 0.3488 0.7136
O 0.6709 0.6346 0.9723
O 0.6709 0.8654 0.4723
O 0.7067 0.1030 0.8862
O 0.7067 0.3970 0.3862
O 0.9151 0.1268 0.6683
O 0.9151 0.3732 0.1683
CELL_PARAMETERS angstrom
5.0977 0.0000 0.0000
0.0000 9.0257 0.0000
-3.9846 0.0000 6.9963


(5)
! AlTlGe2F PBE-GGA optimized geometry; values from VASP
! * E_form (uncorrected): 0.300 eV per atom
! * D(E_F): 3.19 states/eV/cell
&SYSTEM
  ibrav = 0, nat = 5, ntyp = 4
/
ATOMIC_SPECIES
Al 26.98 Al.upf
Tl 204.38 Tl.upf
Ge 72.64 Ge.upf
F 19.00 F.upf
ATOMIC_POSITIONS crystal
Al 0.0000 0.0000 0.0000
Tl 0.5000 0.5000 0.5000
Ge 0.0000 0.5000 0.5000
Ge 0.5000 0.0000 0.5000
F 0.5000 0.5000 0.0000
CELL_PARAMETERS angstrom
5.3918 0.0000 0.0000
0.0000 5.3918 0.0000
0.0000 0.0000 4.4853


(6)
! PmLuAlRu PBE-GGA optimized geometry; values from VASP
! * formation energy from the elements: -310 meV per atom
! * D(E_F): 10.71 states/eV/cell
&SYSTEM
  ibrav = 0, nat = 16, ntyp = 4
/
ATOMIC_SPECIES
Pm 145.00 Pm.upf
Lu 174.97 Lu.upf
Al 26.98 Al.upf
Ru 101.07 Ru.upf
ATOMIC_POSITIONS crystal
Pm 0.0000 0.0000 0.0000
Pm 0.0000 0.5000 0.5000
Pm 0.5000 0.0000 0.5000
Pm 0.5000 0.5000 0.0000
Lu 0.0000 0.0000 0.5000
Lu 0.0000 0.5000 0.0000
Lu 0.5000 0.0000 0.0000
Lu 0.5000 0.5000 0.5000
Al 0.2500 0.2500 0.7500
Al 0.2500 0.7500 0.2500
Al 0.7500 0.2500 0.2500
Al 0.7500 0.7500 0.7500
Ru 0.2500 0.2500 0.2500
Ru 0.2500 0.7500 0.7500
Ru 0.7500 0.2500 0.7500
Ru 0.7500 0.7500 0.2500
CELL_PARAMETERS angstrom
7.0306 0.0000 0.0000
0.0000 7.0306 0.0000
0.0000 0.0000 7.0306